[1]
First-principles (meta-GGA SCAN) data for a crystal of KScIn3 relaxed with PBEsol, as listed in Alexandria via LeMat-Bulk.

Results
For the energy relative to the elements, the calculation gives 0.977 eV/atom. The value obtained for the density of states at the Fermi level is 3.9 states/eV per cell. Its total magnetization is 0.00 μB per formula unit.

Lattice parameters (Å, degrees): 5.514 5.514 5.514 90.00 90.00 90.00
Space group Pm-3m (No. 221)
Asymmetric unit:
1 K 0.000 0.000 0.000 [1 per cell]
2 Sc 0.500 0.500 0.500 [1 per cell]
3 In 0.000 0.000 0.500 [3 per cell]

---

[2]
First-principles (meta-GGA SCAN) data for a crystal of K2ScIn relaxed with PBEsol, as listed in Alexandria via LeMat-Bulk.

Results
For the energy relative to the elements, the calculation gives 0.406 eV/atom. The value obtained for the density of states at the Fermi level is 2.9 states/eV per cell. Its total magnetization is 1.45 μB per formula unit.

Lattice parameters (Å, degrees): 4.682 4.682 6.506 90.00 90.00 90.00
Space group P4/mmm (No. 123)
Asymmetric unit:
1 K 0.000 0.000 0.237 [2 per cell]
2 Sc 0.500 0.500 0.500 [1 per cell]
3 In 0.500 0.500 0.000 [1 per cell]

---

[3]
First-principles (meta-GGA SCAN) data for a crystal of K2ScIn relaxed with PBEsol, as listed in Alexandria via LeMat-Bulk.

Results
For the energy relative to the elements, the calculation gives 0.220 eV/atom. The value obtained for the density of states at the Fermi level is 4.7 states/eV per cell. Its total magnetization is 1.33 μB per formula unit.

Lattice parameters (Å, degrees): 4.560 4.560 12.317 90.00 90.00 90.00
Space group I4/mmm (No. 139)
Asymmetric unit:
1 K 0.000 0.500 0.250 [4 per cell]
2 Sc 0.000 0.000 0.000 [2 per cell]
3 In 0.000 0.000 0.500 [2 per cell]

---

[4]
First-principles (meta-GGA SCAN) data for a crystal of KSc2In relaxed with PBEsol, as listed in Alexandria via LeMat-Bulk.

Results
For the energy relative to the elements, the calculation gives 0.117 eV/atom. The value obtained for the density of states at the Fermi level is 7.8 states/eV per cell. Its total magnetization is 1.06 μB per formula unit.

Lattice parameters (Å, degrees): 3.333 5.749 11.744 90.00 90.00 90.00
Space group Immm (No. 71)
Asymmetric unit:
1 K 0.000 0.000 0.000 [2 per cell]
2 Sc 0.000 0.500 0.214 [4 per cell]
3 In 0.000 0.000 0.500 [2 per cell]

---

[5]
First-principles (meta-GGA SCAN) data for a crystal of KSc2In relaxed with PBEsol, as listed in Alexandria via LeMat-Bulk.

Results
For the energy relative to the elements, the calculation gives 0.335 eV/atom. The value obtained for the density of states at the Fermi level is 13.9 states/eV per cell. Its total magnetization is 0.00 μB per formula unit.

Lattice parameters (Å, degrees): 7.517 7.517 7.517 90.00 90.00 90.00
Space group F-43m (No. 216)
Asymmetric unit:
1 K 0.000 0.000 0.000 [4 per cell]
2 Sc 0.000 0.000 0.500 [4 per cell]
3 Sc 0.250 0.250 0.250 [4 per cell]
4 In 0.250 0.250 0.750 [4 per cell]

---

[6]
First-principles (meta-GGA SCAN) data for a crystal of KSc4In relaxed with PBEsol, as listed in Alexandria via LeMat-Bulk.

Results
For the energy relative to the elements, the calculation gives 0.373 eV/atom. The value obtained for the density of states at the Fermi level is 19.5 states/eV per cell. Its total magnetization is 0.00 μB per formula unit.

Lattice parameters (Å, degrees): 8.591 8.591 8.591 90.00 90.00 90.00
Space group F-43m (No. 216)
Asymmetric unit:
1 K 0.000 0.000 0.000 [4 per cell]
2 Sc 0.123 0.123 0.377 [16 per cell]
3 In 0.250 0.250 0.750 [4 per cell]

---

[7]
First-principles (meta-GGA SCAN) data for a crystal of KSc2TlIn relaxed with PBEsol, as listed in Alexandria via LeMat-Bulk.

Results
For the energy relative to the elements, the calculation gives 0.364 eV/atom. The value obtained for the density of states at the Fermi level is 5.6 states/eV per cell. Its total magnetization is 0.00 μB per formula unit.

Lattice parameters (Å, degrees): 5.506 5.506 5.616 90.00 90.00 90.00
Space group P4/mmm (No. 123)
Asymmetric unit:
1 K 0.000 0.000 0.000 [1 per cell]
2 Sc 0.000 0.500 0.500 [2 per cell]
3 Tl 0.500 0.500 0.500 [1 per cell]
4 In 0.500 0.500 0.000 [1 per cell]

---

[8]
First-principles (meta-GGA SCAN) data for a crystal of K3InSe relaxed with PBEsol, as listed in Alexandria via LeMat-Bulk.

Results
The value obtained for the density of states at the Fermi level is 2.4 states/eV per cell. The calculation puts the formation energy from raw total energies at -0.50 eV per atom. Its total magnetization is 1.98 μB per formula unit.

Lattice parameters (Å, degrees): 6.185 6.185 6.185 90.00 90.00 90.00
Space group Pm-3m (No. 221)
Asymmetric unit:
1 K 0.000 0.000 0.500 [3 per cell]
2 In 0.500 0.500 0.500 [1 per cell]
3 Se 0.000 0.000 0.000 [1 per cell]

---

[9]
First-principles (meta-GGA SCAN) data for a crystal of K2InSe relaxed with PBEsol, as listed in Alexandria via LeMat-Bulk.

Results
The value obtained for the density of states at the Fermi level is 1.7 states/eV per cell. The calculation puts the formation energy from raw total energies at -0.62 eV per atom. Its total magnetization is 0.00 μB per formula unit.

Lattice parameters (Å, degrees): 4.243 4.243 6.751 90.00 90.10 90.00
Space group P2/m (No. 10)
Asymmetric unit:
1 K 0.001 0.000 0.286 [2 per cell]
2 In 0.500 0.500 0.000 [1 per cell]
3 Se 0.500 0.500 0.500 [1 per cell]

---

[10]
First-principles (meta-GGA SCAN) data for a crystal of K2In12Se19 relaxed with PBEsol, as listed in Alexandria via LeMat-Bulk.

Results
The calculation puts the formation energy from raw total energies at -0.70 eV per atom. Its total magnetization is 0.00 μB per formula unit.

Lattice parameters (Å, degrees): 13.8286 13.8286 17.3271 90.00 90.00 120.00
Space group R-3 (No. 148, hexagonal axes)
Asymmetric unit:
1 K 0.0000 0.0000 0.1623 [6 per cell]
2 In 0.0183 0.5631 0.6799 [18 per cell]
3 In 0.0912 0.2341 0.4246 [18 per cell]
4 Se 0.0000 0.0000 0.5000 [3 per cell]
5 Se 0.0107 0.5773 0.2046 [18 per cell]
6 Se 0.0406 0.8400 0.2962 [18 per cell]
7 Se 0.0668 0.2524 0.9056 [18 per cell]

---

[11]
First-principles (meta-GGA SCAN) data for a crystal of KIn2Si relaxed with PBEsol, as listed in Alexandria via LeMat-Bulk.

Results
The value obtained for the density of states at the Fermi level is 1.6 states/eV per cell. The calculation puts the formation energy from raw total energies at 0.12 eV per atom. Its total magnetization is 0.00 μB per formula unit.

Lattice parameters (Å, degrees): 3.192 4.831 7.208 90.00 102.58 90.00
Space group Pm (No. 6)
Asymmetric unit:
1 K 0.000 0.000 0.000 [1 per cell]
2 In 0.324 0.500 0.659 [1 per cell]
3 In 0.720 0.000 0.468 [1 per cell]
4 Si 0.650 0.500 0.295 [1 per cell]

---

[12]
First-principles (meta-GGA SCAN) data for a crystal of KIn2Si relaxed with PBEsol, as listed in Alexandria via LeMat-Bulk.

Results
The value obtained for the density of states at the Fermi level is 2.7 states/eV per cell. The calculation puts the formation energy from raw total energies at 0.28 eV per atom. Its total magnetization is 0.00 μB per formula unit.

Lattice parameters (Å, degrees): 4.736 4.736 8.812 90.00 90.00 90.00
Space group I4/mmm (No. 139)
Asymmetric unit:
1 K 0.000 0.000 0.000 [2 per cell]
2 In 0.000 0.500 0.250 [4 per cell]
3 Si 0.000 0.000 0.500 [2 per cell]

---

[13]
First-principles (meta-GGA SCAN) data for a crystal of KInSi relaxed with PBEsol, as listed in Alexandria via LeMat-Bulk.

Results
The value obtained for the density of states at the Fermi level is 0.1 states/eV per cell. The calculation puts the formation energy from raw total energies at -0.08 eV per atom. Its total magnetization is 0.00 μB per formula unit.

Lattice parameters (Å, degrees): 4.4282 4.4282 5.3983 90.00 90.00 120.00
Space group P-6m2 (No. 187)
Asymmetric unit:
1 K 0.0000 0.0000 0.0000 [1 per cell]
2 In 0.6667 0.3333 0.5000 [1 per cell]
3 Si 0.3333 0.6667 0.5000 [1 per cell]

---

[14]
First-principles (meta-GGA SCAN) data for a crystal of KIn2Si relaxed with PBEsol, as listed in Alexandria via LeMat-Bulk.

Results
The value obtained for the density of states at the Fermi level is 3.4 states/eV per cell. The calculation puts the formation energy from raw total energies at 0.19 eV per atom. Its total magnetization is 0.00 μB per formula unit.

Lattice parameters (Å, degrees): 4.122 5.878 9.244 90.00 90.00 90.00
Space group Immm (No. 71)
Asymmetric unit:
1 K 0.000 0.000 0.000 [2 per cell]
2 In 0.000 0.500 0.195 [4 per cell]
3 Si 0.000 0.000 0.500 [2 per cell]